# 1
Density functional theory data (PBE) for a geometry-optimized LiPOs2 structure.

## Properties
The calculated total energy comes out at -7.47 eV per atom.

Cell: 5.176 5.176 4.393 Å, 64.95 64.95 31.56°
Element x y z (fractional)
1 Li 0.750 0.750 0.750
2 Os 0.958 0.958 0.042
3 Os 0.542 0.542 0.458
4 P 0.250 0.250 0.250

---

# 2
Density functional theory data (PBE) for a geometry-optimized LiPOs structure.

## Properties
The calculated total energy comes out at -6.41 eV per atom.

Cell: 3.936 3.936 3.055 Å, 90.00 90.00 120.00°
Element x y z (fractional)
1 Li 0.000 0.000 0.000
2 Os 0.667 0.333 0.500
3 P 0.333 0.667 0.500

---

| no. | ΔE_f (meV/atom) | theoretical density (g/cm3) |
| --- | --- | --- |
| 1 | -25 | 12.56 |
| 2 | -230 | 9.24 |